! Ba2CrSe PBE optimized geometry; values from VASP
&SYSTEM
  ibrav = 0, nat = 4, ntyp = 3
/
ATOMIC_SPECIES
Ba 137.33 Ba.upf
Cr 52.00 Cr.upf
Se 78.96 Se.upf
CELL_PARAMETERS angstrom
0.000 4.007 4.007
4.007 0.000 4.007
4.007 4.007 0.000
ATOMIC_POSITIONS crystal
Ba 0.000 0.000 0.000
Ba 0.250 0.250 0.250
Cr 0.500 0.500 0.500
Se 0.750 0.750 0.750
! E_tot: -4.134 eV/atom
! E_form (uncorrected): 0.10 eV/atom
! Total magnetic moment: 4.5 μB/f.u.

=====

! Sr2LiPb2 PBE optimized geometry; values from VASP
&SYSTEM
  ibrav = 0, nat = 10, ntyp = 3
/
ATOMIC_SPECIES
Sr 87.62 Sr.upf
Li 6.94 Li.upf
Pb 207.20 Pb.upf
CELL_PARAMETERS angstrom
8.184 0.000 0.000
0.000 8.184 0.000
0.000 0.000 5.089
ATOMIC_POSITIONS crystal
Sr 0.164 0.336 0.000
Sr 0.336 0.836 0.000
Sr 0.664 0.164 0.000
Sr 0.836 0.664 0.000
Li 0.000 0.000 0.500
Li 0.500 0.500 0.500
Pb 0.139 0.639 0.500
Pb 0.361 0.139 0.500
Pb 0.639 0.861 0.500
Pb 0.861 0.361 0.500
! E_tot: -2.977 eV/atom
! ΔH_f (0 K): -0.44 eV/atom
! Total magnetic moment: 0.0 μB/f.u.

=====

! Ca2PmTl5 PBE optimized geometry; values from VASP
&SYSTEM
  ibrav = 0, nat = 8, ntyp = 3
/
ATOMIC_SPECIES
Ca 40.08 Ca.upf
Pm 145.00 Pm.upf
Tl 204.38 Tl.upf
CELL_PARAMETERS angstrom
-3.946 3.946 3.765
3.946 -3.946 3.765
3.946 3.946 -3.765
ATOMIC_POSITIONS crystal
Ca 0.000 0.500 0.500
Ca 0.500 0.000 0.500
Pm 0.000 0.000 0.000
Tl 0.000 0.000 0.500
Tl 0.000 0.500 0.000
Tl 0.500 0.000 0.000
Tl 0.500 0.500 0.000
Tl 0.500 0.500 0.500
! E_tot: -2.906 eV/atom
! ΔH_f (0 K): -0.33 eV/atom
! Total magnetic moment: 0.0 μB/f.u.

=====

! Mg2MoRh PBE optimized geometry; values from VASP
&SYSTEM
  ibrav = 0, nat = 4, ntyp = 3
/
ATOMIC_SPECIES
Mg 24.30 Mg.upf
Mo 95.94 Mo.upf
Rh 102.91 Rh.upf
CELL_PARAMETERS angstrom
-1.463 2.379 4.844
1.463 -2.379 4.844
1.463 2.379 -4.844
ATOMIC_POSITIONS crystal
Mg 0.000 0.000 0.000
Mg 0.719 0.219 0.500
Mo 0.265 0.765 0.500
Rh 0.486 0.486 0.000
! E_tot: -5.277 eV/atom
! ΔH_f (0 K): 0.07 eV/atom
! Total magnetic moment: 0.0 μB/f.u.